{"formula": "Rb2CdRh3F12", "functional": "GGA-PBE", "state": "optimized geometry", "cell": [[3.826, 2.209, 6.136], [-3.826, 2.209, 6.136], [0.000, -4.418, 6.136]], "species": ["Rb", "Rb", "Cd", "Rh", "Rh", "Rh", "F", "F", "F", "F", "F", "F", "F", "F", "F", "F", "F", "F"], "frac_coords": [[0.124, 0.124, 0.124], [0.876, 0.876, 0.876], [0.500, 0.500, 0.500], [0.000, 0.500, 0.500], [0.500, 0.000, 0.500], [0.500, 0.500, 0.000], [0.141, 0.594, 0.594], [0.182, 0.182, 0.591], [0.182, 0.591, 0.182], [0.406, 0.406, 0.859], [0.406, 0.859, 0.406], [0.409, 0.818, 0.818], [0.591, 0.182, 0.182], [0.594, 0.141, 0.594], [0.594, 0.594, 0.141], [0.818, 0.409, 0.818], [0.818, 0.818, 0.409], [0.859, 0.406, 0.406]], "e_form_raw_mev_per_atom": -1896, "mass_density_g_cm3": 4.38, "dos_at_fermi_per_ev_atom": 0.282, "sg": "R-3m (166)", "m_tot_mub_per_cell": 1.05}

{"formula": "RbCdRuF6", "functional": "GGA-PBE", "state": "optimized geometry", "cell": [[-3.859, 3.870, 5.458], [3.859, -3.870, 5.458], [3.859, 3.870, -5.458]], "species": ["Rb", "Rb", "Cd", "Cd", "Ru", "Ru", "F", "F", "F", "F", "F", "F", "F", "F", "F", "F", "F", "F"], "frac_coords": [[0.374, 0.124, 0.250], [0.626, 0.876, 0.750], [0.000, 0.000, 0.500], [0.000, 0.500, 0.000], [0.000, 0.500, 0.500], [0.500, 0.500, 0.000], [0.099, 0.849, 0.250], [0.105, 0.437, 0.290], [0.105, 0.815, 0.668], [0.305, 0.555, 0.750], [0.353, 0.185, 0.790], [0.353, 0.563, 0.168], [0.647, 0.437, 0.832], [0.647, 0.815, 0.210], [0.695, 0.445, 0.250], [0.895, 0.185, 0.332], [0.895, 0.563, 0.710], [0.901, 0.151, 0.750]], "e_form_raw_mev_per_atom": -2065, "mass_density_g_cm3": 4.20, "dos_at_fermi_per_ev_atom": 0.472, "sg": "Imma (74)", "m_tot_mub_per_cell": 2.00}

{"formula": "Rb2CdRuF6", "functional": "GGA-PBE", "state": "optimized geometry", "cell": [[0.000, 4.374, 4.374], [4.374, 0.000, 4.374], [4.374, 4.374, 0.000]], "species": ["Rb", "Rb", "Cd", "Ru", "F", "F", "F", "F", "F", "F"], "frac_coords": [[0.250, 0.250, 0.250], [0.750, 0.750, 0.750], [0.000, 0.000, 0.000], [0.500, 0.500, 0.500], [0.256, 0.256, 0.744], [0.256, 0.744, 0.256], [0.256, 0.744, 0.744], [0.744, 0.256, 0.256], [0.744, 0.256, 0.744], [0.744, 0.744, 0.256]], "e_form_raw_mev_per_atom": -2075, "mass_density_g_cm3": 4.94, "dos_at_fermi_per_ev_atom": 0.000, "sg": "Fm-3m (225)", "m_tot_mub_per_cell": 0.00}

{"formula": "RbCd2SbF8", "functional": "GGA-PBE", "state": "optimized geometry", "cell": [[4.176, 0.000, 0.000], [0.482, 5.774, 0.000], [0.004, 0.009, 7.822]], "species": ["Rb", "Cd", "Cd", "Sb", "F", "F", "F", "F", "F", "F", "F", "F"], "frac_coords": [[0.000, 0.000, 0.000], [0.499, 0.500, 0.243], [0.501, 0.500, 0.757], [0.000, 0.000, 0.500], [0.031, 0.734, 0.710], [0.032, 0.734, 0.291], [0.459, 0.287, 0.000], [0.477, 0.232, 0.500], [0.523, 0.768, 0.500], [0.541, 0.713, 0.000], [0.968, 0.266, 0.709], [0.969, 0.266, 0.290]], "e_form_raw_mev_per_atom": -2273, "mass_density_g_cm3": 5.14, "dos_at_fermi_per_ev_atom": 0.000, "sg": "P-1 (2)", "m_tot_mub_per_cell": 0.00}

{"formula": "Rb2CdSbF6", "functional": "GGA-PBE", "state": "optimized geometry", "cell": [[-3.322, 3.322, 4.684], [3.322, -3.322, 4.684], [3.322, 3.322, -4.684]], "species": ["Rb", "Rb", "Cd", "Sb", "F", "F", "F", "F", "F", "F"], "frac_coords": [[0.250, 0.750, 0.500], [0.750, 0.250, 0.500], [0.000, 0.000, 0.000], [0.500, 0.500, 0.000], [0.263, 0.263, 0.000], [0.264, 0.264, 0.528], [0.264, 0.736, 0.000], [0.736, 0.264, 0.000], [0.736, 0.736, 0.472], [0.737, 0.737, 0.000]], "e_form_raw_mev_per_atom": -2280, "mass_density_g_cm3": 4.17, "dos_at_fermi_per_ev_atom": 0.495, "sg": "I4/mmm (139)", "m_tot_mub_per_cell": 0.00}

{"formula": "RbScCdF6", "functional": "GGA-PBE", "state": "optimized geometry", "cell": [[-3.864, 3.982, 5.569], [3.864, -3.982, 5.569], [3.864, 3.982, -5.569]], "species": ["Rb", "Rb", "Sc", "Sc", "Cd", "Cd", "F", "F", "F", "F", "F", "F", "F", "F", "F", "F", "F", "F"], "frac_coords": [[0.357, 0.107, 0.250], [0.643, 0.893, 0.750], [0.000, 0.500, 0.500], [0.500, 0.500, 0.000], [0.000, 0.000, 0.500], [0.000, 0.500, 0.000], [0.094, 0.437, 0.282], [0.094, 0.812, 0.657], [0.098, 0.848, 0.250], [0.288, 0.538, 0.750], [0.345, 0.188, 0.782], [0.345, 0.563, 0.157], [0.655, 0.437, 0.843], [0.655, 0.812, 0.218], [0.712, 0.462, 0.250], [0.902, 0.152, 0.750], [0.906, 0.188, 0.343], [0.906, 0.563, 0.718]], "e_form_raw_mev_per_atom": -3127, "mass_density_g_cm3": 3.46, "dos_at_fermi_per_ev_atom": 0.000, "sg": "Imma (74)", "m_tot_mub_per_cell": 0.00}

{"formula": "Rb2CdSiF6", "functional": "GGA-PBE", "state": "optimized geometry", "cell": [[0.000, 4.436, 4.436], [4.436, 0.000, 4.436], [4.436, 4.436, 0.000]], "species": ["Rb", "Rb", "Cd", "Si", "F", "F", "F", "F", "F", "F"], "frac_coords": [[0.250, 0.250, 0.250], [0.750, 0.750, 0.750], [0.000, 0.000, 0.000], [0.500, 0.500, 0.500], [0.257, 0.257, 0.743], [0.257, 0.743, 0.257], [0.257, 0.743, 0.743], [0.743, 0.257, 0.257], [0.743, 0.257, 0.743], [0.743, 0.743, 0.257]], "e_form_raw_mev_per_atom": -2338, "mass_density_g_cm3": 4.05, "dos_at_fermi_per_ev_atom": 0.000, "sg": "Fm-3m (225)", "m_tot_mub_per_cell": 0.00}

{"formula": "Rb2SmCd3F12", "functional": "GGA-PBE", "state": "optimized geometry", "cell": [[4.008, 2.314, 6.905], [-4.008, 2.314, 6.905], [0.000, -4.628, 6.905]], "species": ["Rb", "Rb", "Sm", "Cd", "Cd", "Cd", "F", "F", "F", "F", "F", "F", "F", "F", "F", "F", "F", "F"], "frac_coords": [[0.097, 0.097, 0.097], [0.903, 0.903, 0.903], [0.500, 0.500, 0.500], [0.000, 0.500, 0.500], [0.500, 0.000, 0.500], [0.500, 0.500, 0.000], [0.170, 0.574, 0.574], [0.173, 0.173, 0.595], [0.173, 0.595, 0.173], [0.405, 0.827, 0.827], [0.426, 0.426, 0.830], [0.426, 0.830, 0.426], [0.574, 0.170, 0.574], [0.574, 0.574, 0.170], [0.595, 0.173, 0.173], [0.827, 0.405, 0.827], [0.827, 0.827, 0.405], [0.830, 0.426, 0.426]], "e_form_raw_mev_per_atom": -2588, "mass_density_g_cm3": 3.83, "dos_at_fermi_per_ev_atom": 0.595, "sg": "R-3m (166)", "m_tot_mub_per_cell": 0.00}

{"formula": "Rb3Cd2SnF9", "functional": "GGA-PBE", "state": "optimized geometry", "cell": [[6.465, 0.000, 0.000], [-3.232, 5.599, 0.000], [0.000, 0.000, 7.962]], "species": ["Rb", "Rb", "Rb", "Cd", "Cd", "Sn", "F", "F", "F", "F", "F", "F", "F", "F", "F"], "frac_coords": [[0.000, 0.000, 0.000], [0.333, 0.667, 0.677], [0.667, 0.333, 0.323], [0.333, 0.667, 0.161], [0.667, 0.333, 0.839], [0.000, 0.000, 0.500], [0.000, 0.500, 0.000], [0.169, 0.339, 0.325], [0.169, 0.831, 0.325], [0.339, 0.169, 0.675], [0.500, 0.000, 0.000], [0.500, 0.500, 0.000], [0.661, 0.831, 0.325], [0.831, 0.169, 0.675], [0.831, 0.661, 0.675]], "e_form_raw_mev_per_atom": -2456, "mass_density_g_cm3": 4.44, "dos_at_fermi_per_ev_atom": 0.000, "sg": "P-3m1 (164)", "m_tot_mub_per_cell": 0.00}

{"formula": "Rb4Cd3SnF12", "functional": "GGA-PBE", "state": "optimized geometry", "cell": [[-4.559, 4.559, 4.559], [4.559, -4.559, 4.559], [4.559, 4.559, -4.559]], "species": ["Rb", "Rb", "Rb", "Rb", "Cd", "Cd", "Cd", "Sn", "F", "F", "F", "F", "F", "F", "F", "F", "F", "F", "F", "F"], "frac_coords": [[0.000, 0.000, 0.500], [0.000, 0.500, 0.000], [0.500, 0.000, 0.000], [0.500, 0.500, 0.500], [0.000, 0.500, 0.500], [0.500, 0.000, 0.500], [0.500, 0.500, 0.000], [0.000, 0.000, 0.000], [0.000, 0.256, 0.256], [0.000, 0.744, 0.744], [0.250, 0.500, 0.750], [0.250, 0.750, 0.500], [0.256, 0.000, 0.256], [0.256, 0.256, 0.000], [0.500, 0.250, 0.750], [0.500, 0.750, 0.250], [0.744, 0.000, 0.744], [0.744, 0.744, 0.000], [0.750, 0.250, 0.500], [0.750, 0.500, 0.250]], "e_form_raw_mev_per_atom": -2455, "mass_density_g_cm3": 4.49, "dos_at_fermi_per_ev_atom": 0.000, "sg": "Im-3m (229)", "m_tot_mub_per_cell": 0.00}

{"formula": "Rb4SrCd3F12", "functional": "GGA-PBE", "state": "optimized geometry", "cell": [[-4.569, 4.569, 4.569], [4.569, -4.569, 4.569], [4.569, 4.569, -4.569]], "species": ["Rb", "Rb", "Rb", "Rb", "Sr", "Cd", "Cd", "Cd", "F", "F", "F", "F", "F", "F", "F", "F", "F", "F", "F", "F"], "frac_coords": [[0.000, 0.000, 0.500], [0.000, 0.500, 0.000], [0.500, 0.000, 0.000], [0.500, 0.500, 0.500], [0.000, 0.000, 0.000], [0.000, 0.500, 0.500], [0.500, 0.000, 0.500], [0.500, 0.500, 0.000], [0.000, 0.258, 0.258], [0.000, 0.742, 0.742], [0.250, 0.500, 0.750], [0.250, 0.750, 0.500], [0.258, 0.000, 0.258], [0.258, 0.258, 0.000], [0.500, 0.250, 0.750], [0.500, 0.750, 0.250], [0.742, 0.000, 0.742], [0.742, 0.742, 0.000], [0.750, 0.250, 0.500], [0.750, 0.500, 0.250]], "e_form_raw_mev_per_atom": -2688, "mass_density_g_cm3": 4.33, "dos_at_fermi_per_ev_atom": 0.000, "sg": "Im-3m (229)", "m_tot_mub_per_cell": 0.00}

{"formula": "RbSrCdF6", "functional": "GGA-PBE", "state": "optimized geometry", "cell": [[-3.956, 4.043, 5.349], [3.956, -4.043, 5.349], [3.956, 4.043, -5.349]], "species": ["Rb", "Rb", "Sr", "Sr", "Cd", "Cd", "F", "F", "F", "F", "F", "F", "F", "F", "F", "F", "F", "F"], "frac_coords": [[0.398, 0.148, 0.250], [0.602, 0.852, 0.750], [0.000, 0.000, 0.500], [0.000, 0.500, 0.000], [0.000, 0.500, 0.500], [0.500, 0.500, 0.000], [0.128, 0.878, 0.250], [0.154, 0.404, 0.750], [0.174, 0.449, 0.345], [0.174, 0.829, 0.725], [0.396, 0.171, 0.845], [0.396, 0.551, 0.225], [0.604, 0.449, 0.775], [0.604, 0.829, 0.155], [0.826, 0.171, 0.275], [0.826, 0.551, 0.655], [0.846, 0.596, 0.250], [0.872, 0.122, 0.750]], "e_form_raw_mev_per_atom": -2641, "mass_density_g_cm3": 3.88, "dos_at_fermi_per_ev_atom": 0.886, "sg": "Imma (74)", "m_tot_mub_per_cell": 2.03}

{"formula": "Rb2TaCdF6", "functional": "GGA-PBE", "state": "optimized geometry", "cell": [[0.000, 4.932, 4.932], [4.932, 0.000, 4.932], [4.932, 4.932, 0.000]], "species": ["Rb", "Rb", "Ta", "Cd", "F", "F", "F", "F", "F", "F"], "frac_coords": [[0.250, 0.250, 0.250], [0.750, 0.750, 0.750], [0.000, 0.000, 0.000], [0.500, 0.500, 0.500], [0.203, 0.203, 0.797], [0.203, 0.797, 0.203], [0.203, 0.797, 0.797], [0.797, 0.203, 0.203], [0.797, 0.203, 0.797], [0.797, 0.797, 0.203]], "e_form_raw_mev_per_atom": -2521, "mass_density_g_cm3": 4.00, "dos_at_fermi_per_ev_atom": 2.022, "sg": "Fm-3m (225)", "m_tot_mub_per_cell": 1.00}

{"formula": "Rb2TbCdF6", "functional": "GGA-PBE", "state": "optimized geometry", "cell": [[0.000, 4.714, 4.714], [4.714, 0.000, 4.714], [4.714, 4.714, 0.000]], "species": ["Rb", "Rb", "Tb", "Cd", "F", "F", "F", "F", "F", "F"], "frac_coords": [[0.250, 0.250, 0.250], [0.750, 0.750, 0.750], [0.000, 0.000, 0.000], [0.500, 0.500, 0.500], [0.233, 0.233, 0.767], [0.233, 0.767, 0.233], [0.233, 0.767, 0.767], [0.767, 0.233, 0.233], [0.767, 0.233, 0.767], [0.767, 0.767, 0.233]], "e_form_raw_mev_per_atom": -2948, "mass_density_g_cm3": 4.41, "dos_at_fermi_per_ev_atom": 0.302, "sg": "Fm-3m (225)", "m_tot_mub_per_cell": 0.75}

{"formula": "Rb2CdTcF6", "functional": "GGA-PBE", "state": "optimized geometry", "cell": [[0.000, 4.813, 4.813], [4.813, 0.000, 4.813], [4.813, 4.813, 0.000]], "species": ["Rb", "Rb", "Cd", "Tc", "F", "F", "F", "F", "F", "F"], "frac_coords": [[0.250, 0.250, 0.250], [0.750, 0.750, 0.750], [0.000, 0.000, 0.000], [0.500, 0.500, 0.500], [0.294, 0.294, 0.706], [0.294, 0.706, 0.294], [0.294, 0.706, 0.706], [0.706, 0.294, 0.294], [0.706, 0.294, 0.706], [0.706, 0.706, 0.294]], "e_form_raw_mev_per_atom": -2161, "mass_density_g_cm3": 3.69, "dos_at_fermi_per_ev_atom": 0.000, "sg": "Fm-3m (225)", "m_tot_mub_per_cell": 3.00}

{"formula": "Rb2CdTeF6", "functional": "GGA-PBE", "state": "optimized geometry", "cell": [[-3.445, 3.445, 4.459], [3.445, -3.445, 4.459], [3.445, 3.445, -4.459]], "species": ["Rb", "Rb", "Cd", "Te", "F", "F", "F", "F", "F", "F"], "frac_coords": [[0.250, 0.750, 0.500], [0.750, 0.250, 0.500], [0.000, 0.000, 0.000], [0.500, 0.500, 0.000], [0.227, 0.227, 0.453], [0.227, 0.773, 0.000], [0.263, 0.263, 0.000], [0.737, 0.737, 0.000], [0.773, 0.227, 0.000], [0.773, 0.773, 0.547]], "e_form_raw_mev_per_atom": -2083, "mass_density_g_cm3": 4.12, "dos_at_fermi_per_ev_atom": 0.000, "sg": "I4/mmm (139)", "m_tot_mub_per_cell": 2.00}

{"formula": "Rb3Tl3CdF8", "functional": "GGA-PBE", "state": "optimized geometry", "cell": [[3.977, 2.296, 6.456], [-3.977, 2.296, 6.456], [0.000, -4.593, 6.456]], "species": ["Rb", "Rb", "Rb", "Tl", "Tl", "Tl", "Cd", "F", "F", "F", "F", "F", "F", "F", "F"], "frac_coords": [[0.000, 0.500, 0.500], [0.500, 0.000, 0.500], [0.500, 0.500, 0.000], [0.000, 0.000, 0.500], [0.000, 0.500, 0.000], [0.500, 0.000, 0.000], [0.000, 0.000, 0.000], [0.204, 0.795, 0.795], [0.205, 0.205, 0.796], [0.205, 0.796, 0.205], [0.250, 0.250, 0.250], [0.750, 0.750, 0.750], [0.795, 0.204, 0.795], [0.795, 0.795, 0.204], [0.796, 0.205, 0.205]], "e_form_raw_mev_per_atom": -2216, "mass_density_g_cm3": 5.32, "dos_at_fermi_per_ev_atom": 0.000, "sg": "R-3m (166)", "m_tot_mub_per_cell": 0.00}

{"formula": "RbTlCdF6", "functional": "GGA-PBE", "state": "optimized geometry", "cell": [[-3.947, 4.152, 5.810], [3.947, -4.152, 5.810], [3.947, 4.152, -5.810]], "species": ["Rb", "Rb", "Tl", "Tl", "Cd", "Cd", "F", "F", "F", "F", "F", "F", "F", "F", "F", "F", "F", "F"], "frac_coords": [[0.325, 0.075, 0.250], [0.675, 0.925, 0.750], [0.000, 0.500, 0.500], [0.500, 0.500, 0.000], [0.000, 0.000, 0.500], [0.000, 0.500, 0.000], [0.070, 0.412, 0.244], [0.070, 0.826, 0.658], [0.082, 0.832, 0.250], [0.322, 0.572, 0.750], [0.332, 0.174, 0.744], [0.332, 0.588, 0.158], [0.668, 0.412, 0.842], [0.668, 0.826, 0.256], [0.678, 0.428, 0.250], [0.918, 0.168, 0.750], [0.930, 0.174, 0.342], [0.930, 0.588, 0.756]], "e_form_raw_mev_per_atom": -2170, "mass_density_g_cm3": 4.50, "dos_at_fermi_per_ev_atom": 0.000, "sg": "Imma (74)", "m_tot_mub_per_cell": 0.00}

{"formula": "RbTlCdF4", "functional": "GGA-PBE", "state": "optimized geometry", "cell": [[-2.247, 2.247, 6.993], [2.247, -2.247, 6.993], [2.247, 2.247, -6.993]], "species": ["Rb", "Tl", "Cd", "F", "F", "F", "F"], "frac_coords": [[0.000, 0.000, 0.000], [0.295, 0.295, 0.000], [0.645, 0.645, 0.000], [0.142, 0.642, 0.500], [0.482, 0.482, 0.000], [0.642, 0.142, 0.500], [0.805, 0.805, 0.000]], "e_form_raw_mev_per_atom": -2238, "mass_density_g_cm3": 5.62, "dos_at_fermi_per_ev_atom": 0.000, "sg": "I4mm (107)", "m_tot_mub_per_cell": 0.00}